First-principles (PBE+U) data for a relaxed Na2NdVF8 crystal, as listed in Alexandria.

abc: 3.7839 7.4744 5.5462
angles: 90.00 90.77 90.00
Closest atoms and distances in Å follow each position.
Element x y z (fractional)
Na: 0.0000 0.2276 0.0000  8 F 2.34-2.47
Na: 0.0000 0.7724 0.0000  8 F 2.34-2.47
Nd: 0.5000 0.5000 0.5000  8 F 2.33-2.40
V: 0.5000 0.0000 0.5000  8 F 2.09-2.26
F: 0.0029 0.5000 0.7486  2 Nd 2.33-2.35, 2 Na 2.47
F: 0.0094 0.0000 0.2909  2 V 2.18-2.26, 1 F 2.32, 2 Na 2.34
F: 0.4940 0.2251 0.7244  1 V 2.09
F: 0.4940 0.7749 0.7244  1 V 2.09
F: 0.5060 0.2251 0.2756  1 V 2.09
F: 0.5060 0.7749 0.2756  1 V 2.09
F: 0.9906 0.0000 0.7091  2 V 2.18-2.26, 1 F 2.32, 2 Na 2.34
F: 0.9971 0.5000 0.2514  2 Nd 2.33-2.35, 2 Na 2.47

Calculated values
**Total DFT energy (no corrections)**: -5.695 eV per atom
**SG**: P2/m (10)
**M_tot**: 2.00 μB per formula unit